Crystalline NiBi2OsO6 at its relaxed geometry. Source: Alexandria, functional PBE+U.

Crystal system: monoclinic
Raw total energy: -123.15 eV/cell
Symmetry: No. 14
Size of the total moment: 8.04 Bohr magnetons per cell

Cell and atoms, written as POSCAR:
```
NiBi2OsO6
1.0
5.5808 0.0000 -0.0620
0.0000 5.7654 0.0000
-0.2418 0.0000 7.9439
O Os Ni Bi
12 2 2 4
Cartesian
4.9474 3.0542 1.8935
2.0361 5.5939 5.8964
1.5950 4.1464 3.5105
0.8700 1.0266 3.8000
4.4690 4.7388 4.0819
3.5395 1.8561 7.7410
0.3916 2.7112 5.9885
1.0745 1.2637 0.4305
3.3029 0.1715 1.9856
4.2645 4.5018 7.4515
1.7995 3.9093 0.1410
3.7440 1.6190 4.3715
0.0000 2.8827 0.0000
2.6695 0.0000 3.9410
2.7904 0.0000 -0.0310
-0.1209 2.8827 3.9720
2.6221 3.2769 6.0719
-0.0474 5.3713 2.1309
2.7169 2.4886 1.8100
5.3864 0.3942 5.7510
```